Entry from Alexandria: a relaxed KCaCd2 crystal (PBE-GGA).

## Properties
**Space group**: No. 216
**ρ**: 4.29 g/cm3
**Energy above the most stable polymorph in this dataset**: 133 meV per atom

```
4
Lattice="-1.649 4.524 2.657 0.565 0.342 5.460 3.718 3.422 2.171" Properties=species:S:1:pos:R:3 pbc="T T T"
Ca 1.317 4.144 5.144
Cd 0.000 0.000 0.000
Cd 0.658 2.072 2.572
K 1.975 6.216 7.716
```